Record 1
DFT (GGA-PBE) results for a relaxed structure of CaNb2AlPd.

The structure in POSCAR format:
```
CaNb2AlPd
1.0
4.915 0.000 0.000
0.000 4.915 0.000
0.000 0.000 5.201
Ca Nb Al Pd
1 2 1 1
Direct
0.000 0.000 0.000 Ca
0.000 0.500 0.500 Nb
0.500 0.000 0.500 Nb
0.500 0.500 0.000 Al
0.000 0.000 0.500 Pd
```

energy of formation = 883 meV/atom


Record 2
DFT (GGA-PBE) results for a relaxed structure of CaNbAl2Sb.

The structure in POSCAR format:
```
CaNbAl2Sb
1.0
5.318 0.000 0.000
0.000 5.318 0.000
0.000 0.000 4.845
Ca Nb Al Sb
1 1 2 1
Direct
0.000 0.000 0.000 Ca
0.000 0.000 0.500 Nb
0.000 0.500 0.000 Al
0.500 0.000 0.000 Al
0.500 0.500 0.500 Sb
```

formation energy without anion corrections = 1.5737 eV/atom